Run one
Ac2LaRu | PBE-GGA | relaxed

Lattice parameters (Å, degrees): 4.1241 4.1241 10.1854 78.32 78.32 60.00
Positions (direct):
1 Ac 0.2772 0.2772 0.1684
2 Ac 0.7228 0.7228 0.8316
3 La 0.5000 0.5000 0.5000
4 Ru 0.0000 0.0000 0.0000

## Properties
- M_tot (μB/f.u.) = 0.00
- N(E_F) (states/eV/f.u.) = 4.38

---

Run two
Ac2LaRu | PBE-GGA | relaxed

Lattice parameters (Å, degrees): 6.8214 7.5986 10.5083 90.00 90.00 90.00
Positions (direct):
1 La 0.3345 0.4410 0.7500
2 La 0.8345 0.0590 0.2500
3 La 0.1655 0.9410 0.7500
4 La 0.6655 0.5590 0.2500
5 Ac 0.1780 0.6690 0.0709
6 Ac 0.8220 0.3310 0.9291
7 Ac 0.3220 0.1690 0.0709
8 Ac 0.3220 0.1690 0.4291
9 Ac 0.1780 0.6690 0.4291
10 Ac 0.6780 0.8310 0.5709
11 Ac 0.6780 0.8310 0.9291
12 Ac 0.8220 0.3310 0.5709
13 Ru 0.0233 0.3758 0.2500
14 Ru 0.9767 0.6242 0.7500
15 Ru 0.5233 0.1242 0.7500
16 Ru 0.4767 0.8758 0.2500

## Properties
- M_tot (μB/f.u.) = 0.00
- N(E_F) (states/eV/f.u.) = 4.51

---

Run three
Ac2LaRu | PBE-GGA | relaxed

Lattice parameters (Å, degrees): 4.0837 6.9471 10.3068 90.00 90.00 107.04
Positions (direct):
1 La 0.0993 0.1990 0.7500
2 La 0.9007 0.8010 0.2500
3 Ru 0.2641 0.5271 0.2500
4 Ru 0.7359 0.4729 0.7500
5 Ac 0.3559 0.7122 0.5722
6 Ac 0.6441 0.2878 0.4278
7 Ac 0.6441 0.2878 0.0722
8 Ac 0.3559 0.7122 0.9278

## Properties
- M_tot (μB/f.u.) = 0.00
- N(E_F) (states/eV/f.u.) = 4.64

---

Relative energy of each structure, in kJ/mol of atoms: run one 18.9; run two 0.0; run three 2.6.

---

Run one
AcLa3Ru | PBE-GGA | relaxed

Lattice parameters (Å, degrees): 5.6580 5.6580 5.6580 90.00 90.00 90.00
Positions (direct):
1 La 0.0000 0.5000 0.0000
2 La 0.5000 0.0000 0.0000
3 La 0.0000 0.0000 0.5000
4 Ac 0.5000 0.5000 0.5000
5 Ru 0.0000 0.0000 0.0000

## Properties
- M_tot (μB/f.u.) = 0.00
- N(E_F) (states/eV/f.u.) = 9.82

---

Run two
AcLa3Ru | PBE-GGA | relaxed

Lattice parameters (Å, degrees): 6.5773 8.2607 7.8791 58.43 88.13 89.98
Positions (direct):
1 La 0.4291 0.6676 0.8947
2 La 0.9549 0.9821 0.2443
3 La 0.4292 0.1569 0.8949
4 La 0.4507 0.1669 0.3869
5 La 0.9548 0.4928 0.2441
6 La 0.9335 0.4828 0.7521
7 Ac 0.9305 0.9976 0.7230
8 Ac 0.4536 0.6521 0.4161
9 Ru 0.1920 0.3249 0.0695
10 Ru 0.1920 0.8249 0.0695

## Properties
- M_tot (μB/f.u.) = 0.00
- N(E_F) (states/eV/f.u.) = 7.51

---

Run three
AcLa3Ru | PBE-GGA | relaxed

Lattice parameters (Å, degrees): 8.8476 7.5732 10.3586 100.70 90.00 90.00
Positions (direct):
1 Ru 0.2728 0.9360 0.6390
2 Ru 0.7728 0.0640 0.8610
3 Ru 0.7272 0.0640 0.3610
4 Ru 0.2272 0.9360 0.1390
5 Ac 0.0523 0.2974 0.7737
6 Ac 0.9477 0.7026 0.2263
7 Ac 0.5523 0.7026 0.7263
8 Ac 0.4477 0.2974 0.2737
9 La 0.3143 0.6127 0.0307
10 La 0.9966 0.8038 0.8669
11 La 0.6486 0.9297 0.0762
12 La 0.1857 0.6127 0.5307
13 La 0.5034 0.8038 0.3669
14 La 0.6857 0.3873 0.9693
15 La 0.1486 0.0703 0.4238
16 La 0.8143 0.3873 0.4693
17 La 0.0034 0.1962 0.1331
18 La 0.3514 0.0703 0.9238
19 La 0.4966 0.1962 0.6331
20 La 0.8514 0.9297 0.5762

## Properties
- M_tot (μB/f.u.) = 0.00
- N(E_F) (states/eV/f.u.) = 6.79

---

Relative energy of each structure, in kJ/mol of atoms: run one 4.9; run two 0.0; run three 2.4.